NbReSeBr2 at its PBEsol-relaxed geometry, computed with SCAN.

It has space group P4/mmm (No. 123), with a = 5.065 Å, b = 5.065 Å, c = 4.673 Å, α = 90.00°, β = 90.00° and γ = 90.00°. The inequivalent atoms are Nb at (0.000, 0.000, 0.000), Re at (0.500, 0.500, 0.500), Se at (0.500, 0.500, 0.000) and Br at (0.000, 0.500, 0.500).

For the formation energy from raw total energies, the calculation gives 24.14 kcal/mol of atoms.

***

NbSbRu2Br at its PBEsol-relaxed geometry, computed with SCAN.

It has space group P4/mmm (No. 123), with a = 4.755 Å, b = 4.755 Å, c = 5.301 Å, α = 90.00°, β = 90.00° and γ = 90.00°. The inequivalent atoms are Nb at (0.000, 0.000, 0.000), Sb at (0.500, 0.500, 0.500), Ru at (0.000, 0.500, 0.500) and Br at (0.500, 0.500, 0.000).

For the formation energy from raw total energies, the calculation gives 38.04 kcal/mol of atoms.

***

NbSBr2 at its PBEsol-relaxed geometry, computed with SCAN.

It has space group I-42d (No. 122), with a = 9.462 Å, b = 9.462 Å, c = 4.694 Å, α = 90.00°, β = 90.00° and γ = 90.00°. The inequivalent atoms are Nb at (0.000, 0.000, 0.000), S at (0.000, 0.000, 0.500) and Br at (0.111, 0.750, 0.125).

For the formation energy from raw total energies, the calculation gives -14.92 kcal/mol of atoms.

***

NbSBr at its PBEsol-relaxed geometry, computed with SCAN.

It has space group F-43m (No. 216), with a = 10.143 Å, b = 10.143 Å, c = 10.143 Å, α = 90.00°, β = 90.00° and γ = 90.00°. The inequivalent atoms are Nb at (0.102, 0.102, 0.398), S at (0.132, 0.132, 0.632) and Br at (0.127, 0.127, 0.127).

For the formation energy from raw total energies, the calculation gives -26.67 kcal/mol of atoms.

***

NbSBr3 at its PBEsol-relaxed geometry, computed with SCAN.

It has space group Pm-3m (No. 221), with a = 5.044 Å, b = 5.044 Å, c = 5.044 Å, α = 90.00°, β = 90.00° and γ = 90.00°. The inequivalent atoms are Nb at (0.000, 0.000, 0.000), S at (0.500, 0.500, 0.500) and Br at (0.000, 0.500, 0.500).

For the formation energy from raw total energies, the calculation gives 17.80 kcal/mol of atoms.

***

TaNb2SBr at its PBEsol-relaxed geometry, computed with SCAN.

It has space group P4/mmm (No. 123), with a = 4.956 Å, b = 4.956 Å, c = 4.808 Å, α = 90.00°, β = 90.00° and γ = 90.00°. The inequivalent atoms are Ta at (0.000, 0.000, 0.000), Nb at (0.000, 0.500, 0.000), S at (0.500, 0.500, 0.500) and Br at (0.000, 0.000, 0.500).

For the formation energy from raw total energies, the calculation gives 30.10 kcal/mol of atoms.

***

Repeat the third record exactly.
NbSBr2 at its PBEsol-relaxed geometry, computed with SCAN.

It has space group I-42d (No. 122), with a = 9.462 Å, b = 9.462 Å, c = 4.694 Å, α = 90.00°, β = 90.00° and γ = 90.00°. The inequivalent atoms are Nb at (0.000, 0.000, 0.000), S at (0.000, 0.000, 0.500) and Br at (0.111, 0.750, 0.125).

For the formation energy from raw total energies, the calculation gives -14.92 kcal/mol of atoms.

***

Look up the formation energy from raw total energies of the third one.
-14.92 kcal/mol of atoms

***

Please write out number 2 again, unchanged.
NbSbRu2Br at its PBEsol-relaxed geometry, computed with SCAN.

It has space group P4/mmm (No. 123), with a = 4.755 Å, b = 4.755 Å, c = 5.301 Å, α = 90.00°, β = 90.00° and γ = 90.00°. The inequivalent atoms are Nb at (0.000, 0.000, 0.000), Sb at (0.500, 0.500, 0.500), Ru at (0.000, 0.500, 0.500) and Br at (0.500, 0.500, 0.000).

For the formation energy from raw total energies, the calculation gives 38.04 kcal/mol of atoms.

***

formation energy from raw total energies of number 6 (TaNb2SBr)?
30.10 kcal/mol of atoms